A plane-wave DFT calculation with SCAN was carried out for a crystal of MnIrRh2 relaxed with PBEsol.

Results
Symmetry: R-3m, No. 166
Energy of formation, eV/atom: -0.0985

a b c (Å): 2.646 2.646 8.708
angles (deg): 81.26 81.26 60.00
Last column: magnetic moment on the atom in μB.
Atoms (fractional coordinates):
1 Ir 0.500 0.500 0.500  -0.05
2 Mn 0.000 0.000 0.000  3.47
3 Rh 0.254 0.254 0.237  0.04
4 Rh 0.746 0.746 0.763  0.04